Model a:
## Pm3Pr2Er5 (PBE)

Data for a relaxed Pm3Pr2Er5 crystal.

Lattice parameters (Å, degrees): 9.7195 9.7195 9.3415 108.12 108.12 113.61
Positions (direct):
Pm (0.0296, 0.2749, 0.0475)
Pm (0.2291, 0.7709, 0.7500)
Pm (0.2749, 0.0296, 0.5475)
Pm (0.7251, 0.9704, 0.4525)
Pm (0.7709, 0.2291, 0.2500)
Pm (0.9704, 0.7251, 0.9525)
Pr (0.2321, 0.4773, 0.4533)
Pr (0.4773, 0.2321, 0.9533)
Pr (0.5227, 0.7679, 0.0467)
Pr (0.7679, 0.5227, 0.5467)
Er (0.0265, 0.9735, 0.7500)
Er (0.1268, 0.3585, 0.7404)
Er (0.2710, 0.7290, 0.2500)
Er (0.3585, 0.1268, 0.2404)
Er (0.4746, 0.5254, 0.2500)
Er (0.5254, 0.4746, 0.7500)
Er (0.6415, 0.8732, 0.7596)
Er (0.7290, 0.2710, 0.7500)
Er (0.8732, 0.6415, 0.2596)
Er (0.9735, 0.0265, 0.2500)

## Properties
The symmetry is C2/c, No. 15. As for the mass density: 7.75 g cm⁻³. The magnetization is 0.00 μB/cell.

Model b:
## Pm3Pr2Er5 (PBE)

Data for a relaxed Pm3Pr2Er5 crystal.

Lattice parameters (Å, degrees): 12.3931 12.3931 12.3931 135.00 56.26 148.03
Positions (direct):
Pm (0.1315, 0.7478, 0.8793)
Pm (0.2500, 0.2500, 0.0000)
Pm (0.3685, 0.2478, 0.6163)
Pm (0.6315, 0.7522, 0.3837)
Pm (0.7500, 0.7500, 0.0000)
Pm (0.8685, 0.2522, 0.1207)
Pr (0.1261, 0.1058, 0.2319)
Pr (0.3739, 0.6058, 0.9797)
Pr (0.6261, 0.3942, 0.0203)
Pr (0.8739, 0.8942, 0.7681)
Er (0.0018, 0.7500, 0.2518)
Er (0.1248, 0.4163, 0.5410)
Er (0.2500, 0.7500, 0.5000)
Er (0.3752, 0.9163, 0.2915)
Er (0.4982, 0.7500, 0.7482)
Er (0.5018, 0.2500, 0.2518)
Er (0.6248, 0.0837, 0.7085)
Er (0.7500, 0.2500, 0.5000)
Er (0.8752, 0.5837, 0.4590)
Er (0.9982, 0.2500, 0.7482)

## Properties
The symmetry is Ibam, No. 72. As for the mass density: 7.29 g cm⁻³. The magnetization is 0.00 μB/cell.

Bottom line: model a, by a margin of 20.5 kJ/mol of atoms.

Model a:
## Pm12Pr6Er (PBE)

Data for a relaxed Pm12Pr6Er crystal.

Lattice parameters (Å, degrees): 10.0148 10.0148 10.0148 112.30 112.30 112.30
Positions (direct):
Pm (0.0000, 0.3785, 0.6215)
Pm (0.0000, 0.6215, 0.3785)
Pm (0.2351, 0.2351, 0.5943)
Pm (0.2351, 0.5943, 0.2351)
Pm (0.3785, 0.0000, 0.6215)
Pm (0.3785, 0.6215, 0.0000)
Pm (0.4057, 0.7649, 0.7649)
Pm (0.5943, 0.2351, 0.2351)
Pm (0.6215, 0.0000, 0.3785)
Pm (0.6215, 0.3785, 0.0000)
Pm (0.7649, 0.4057, 0.7649)
Pm (0.7649, 0.7649, 0.4057)
Pr (0.0236, 0.7678, 0.7678)
Pr (0.2322, 0.2322, 0.9764)
Pr (0.2322, 0.9764, 0.2322)
Pr (0.7678, 0.0236, 0.7678)
Pr (0.7678, 0.7678, 0.0236)
Pr (0.9764, 0.2322, 0.2322)
Er (0.5000, 0.5000, 0.5000)

## Properties
The symmetry is R-3m, No. 166. As for the mass density: 6.72 g cm⁻³. The magnetization is 0.00 μB/cell.

Model b:
## Pm12Pr6Er (PBE)

Data for a relaxed Pm12Pr6Er crystal.

Lattice parameters (Å, degrees): 8.7502 8.7502 8.7502 89.40 89.40 89.40
Positions (direct):
Pm (0.0179, 0.1927, 0.3588)
Pm (0.1927, 0.3588, 0.0179)
Pm (0.2210, 0.4650, 0.5634)
Pm (0.3588, 0.0179, 0.1927)
Pm (0.4366, 0.7790, 0.5350)
Pm (0.4650, 0.5634, 0.2210)
Pm (0.5350, 0.4366, 0.7790)
Pm (0.5634, 0.2210, 0.4650)
Pm (0.6412, 0.9821, 0.8073)
Pm (0.7790, 0.5350, 0.4366)
Pm (0.8073, 0.6412, 0.9821)
Pm (0.9821, 0.8073, 0.6412)
Pr (0.0940, 0.6978, 0.2627)
Pr (0.2627, 0.0940, 0.6978)
Pr (0.3022, 0.7373, 0.9060)
Pr (0.6978, 0.2627, 0.0940)
Pr (0.7373, 0.9060, 0.3022)
Pr (0.9060, 0.3022, 0.7373)
Er (0.0000, 0.0000, 0.0000)

## Properties
The symmetry is R-3, No. 148. As for the mass density: 6.82 g cm⁻³. The magnetization is 0.00 μB/cell.

Bottom line: model b, by a margin of 16.2 kJ/mol of atoms.